{
  "formula": "KHg2Pt",
  "functional": "PBE",
  "state": "optimized geometry",
  "magmom_total_mub_per_cell": 0.00,
  "de_polymorph_mev_per_atom": 146,
  "final_energy_ev_per_cell": -31.380,
  "formation_enthalpy_0k_ev_per_fu": -0.1,
  "lattice": [[5.6037, 0.0000, 0.0000], [0.0000, 5.6037, 0.0000], [0.0000, 0.0000, 18.0188]],
  "species": ["K", "K", "K", "K", "Hg", "Hg", "Hg", "Hg", "Hg", "Hg", "Hg", "Hg", "Pt", "Pt", "Pt", "Pt"],
  "fractional_positions": [[0.0000, 0.0000, 0.0000], [0.0000, 0.5000, 0.2500], [0.5000, 0.0000, 0.7500], [0.5000, 0.5000, 0.5000], [0.0805, 0.2500, 0.6250], [0.2500, 0.5805, 0.8750], [0.2500, 0.9195, 0.3750], [0.4195, 0.2500, 0.1250], [0.5805, 0.7500, 0.1250], [0.7500, 0.0805, 0.3750], [0.7500, 0.4195, 0.8750], [0.9195, 0.7500, 0.6250], [0.0000, 0.0000, 0.5000], [0.0000, 0.5000, 0.7500], [0.5000, 0.0000, 0.2500], [0.5000, 0.5000, 0.0000]]
}

{
  "formula": "SmP2Pd6",
  "functional": "PBE",
  "state": "optimized geometry",
  "magmom_total_mub_per_cell": 0.00,
  "de_polymorph_mev_per_atom": 104,
  "final_energy_ev_per_cell": -51.431,
  "formation_enthalpy_0k_ev_per_fu": -4.7,
  "lattice": [[5.7294, 0.0000, 0.0000], [-2.8647, 4.9618, 0.0000], [0.0000, 0.0000, 6.0638]],
  "species": ["Sm", "P", "P", "Pd", "Pd", "Pd", "Pd", "Pd", "Pd"],
  "fractional_positions": [[0.0000, 0.0000, 0.0000], [0.3333, 0.6667, 0.5000], [0.6667, 0.3333, 0.5000], [0.0000, 0.5000, 0.2295], [0.0000, 0.5000, 0.7705], [0.5000, 0.0000, 0.2295], [0.5000, 0.0000, 0.7705], [0.5000, 0.5000, 0.2295], [0.5000, 0.5000, 0.7705]]
}

{
  "formula": "LaGa2PbAu5",
  "functional": "PBE",
  "state": "optimized geometry",
  "magmom_total_mub_per_cell": 0.00,
  "final_energy_ev_per_cell": -34.716,
  "formation_enthalpy_0k_ev_per_fu": -3.6,
  "lattice": [[4.6528, 0.0000, 0.0000], [0.0000, 4.6528, 0.0000], [0.0000, 0.0000, 8.8664]],
  "species": ["La", "Ga", "Ga", "Pb", "Au", "Au", "Au", "Au", "Au"],
  "fractional_positions": [[0.0000, 0.0000, 0.0000], [0.5000, 0.5000, 0.1434], [0.5000, 0.5000, 0.8566], [0.0000, 0.0000, 0.5000], [0.0000, 0.5000, 0.2709], [0.0000, 0.5000, 0.7291], [0.5000, 0.0000, 0.2709], [0.5000, 0.0000, 0.7291], [0.5000, 0.5000, 0.5000]]
}

{
  "formula": "Nd3GaO6",
  "functional": "PBE",
  "state": "optimized geometry",
  "magmom_total_mub_per_cell": 0.00,
  "final_energy_ev_per_cell": -154.801,
  "raw_formation_energy_ev_per_atom": -3.032,
  "lattice": [[4.6470, -5.8198, 0.0000], [4.6470, 5.8198, 0.0000], [0.0000, 0.0000, 5.6211]],
  "species": ["Nd", "Nd", "Nd", "Nd", "Nd", "Nd", "Ga", "Ga", "O", "O", "O", "O", "O", "O", "O", "O", "O", "O", "O", "O"],
  "fractional_positions": [[0.1037, 0.8963, 0.5000], [0.2004, 0.4138, 0.5441], [0.4138, 0.2004, 0.0441], [0.5862, 0.7996, 0.5441], [0.7996, 0.5862, 0.0441], [0.8963, 0.1037, 0.0000], [0.3080, 0.6920, 0.0785], [0.6920, 0.3080, 0.5785], [0.0847, 0.6068, 0.2464], [0.1463, 0.1724, 0.2743], [0.1724, 0.1463, 0.7743], [0.2850, 0.7150, 0.7501], [0.3932, 0.9153, 0.2464], [0.4579, 0.5421, 0.2105], [0.5421, 0.4579, 0.7105], [0.6068, 0.0847, 0.7464], [0.7150, 0.2850, 0.2501], [0.8276, 0.8537, 0.2743], [0.8537, 0.8276, 0.7743], [0.9153, 0.3932, 0.7464]]
}